[1]
! ScTi2P (PBE-GGA, relaxed); values from VASP
! formation energy from the elements	-0.33	eV per atom
&SYSTEM
  ibrav = 0, nat = 8, ntyp = 3
/
ATOMIC_SPECIES
Sc 44.96 Sc.upf
P 30.97 P.upf
Ti 47.87 Ti.upf
ATOMIC_POSITIONS crystal
Sc 0.000 0.000 0.000
Sc 0.750 0.250 0.500
P 0.500 0.500 0.000
P 0.250 0.750 0.500
Ti 0.563 0.125 0.250
Ti 0.187 0.625 0.250
Ti 0.375 0.437 0.750
Ti 0.875 0.813 0.750
CELL_PARAMETERS angstrom
7.496 0.000 0.000
0.000 7.496 0.000
3.748 3.748 2.618


[2]
! ScTi3P (PBE-GGA, relaxed); values from VASP
! formation energy from the elements	1.29	eV per atom
! E above lowest polymorph	1564	meV/atom
&SYSTEM
  ibrav = 0, nat = 5, ntyp = 3
/
ATOMIC_SPECIES
Sc 44.96 Sc.upf
P 30.97 P.upf
Ti 47.87 Ti.upf
ATOMIC_POSITIONS crystal
Sc 0.000 0.000 0.000
P 0.500 0.500 0.500
Ti 0.000 0.500 0.000
Ti 0.000 0.000 0.500
Ti 0.500 0.000 0.000
CELL_PARAMETERS angstrom
-1.717 0.575 4.244
-3.062 -3.361 -0.784
2.994 -3.108 1.632


[3]
! ScTiP2 (PBE-GGA, relaxed); values from VASP
! formation energy from the elements	-1.21	eV per atom
! E above lowest polymorph	76	meV/atom
&SYSTEM
  ibrav = 0, nat = 4, ntyp = 3
/
ATOMIC_SPECIES
Sc 44.96 Sc.upf
Ti 47.87 Ti.upf
P 30.97 P.upf
ATOMIC_POSITIONS crystal
Sc 0.671 0.671 0.987
Ti 0.497 0.497 0.509
P 0.087 0.087 0.739
P 0.245 0.245 0.266
CELL_PARAMETERS angstrom
-3.111 1.253 1.265
-2.693 0.715 -2.254
-4.008 -5.137 0.309


[4]
! ScTi2P2 (PBE-GGA, relaxed); values from VASP
! formation energy from the elements	-0.88	eV per atom
! E above lowest polymorph	222	meV/atom
&SYSTEM
  ibrav = 0, nat = 10, ntyp = 3
/
ATOMIC_SPECIES
Sc 44.96 Sc.upf
Ti 47.87 Ti.upf
P 30.97 P.upf
ATOMIC_POSITIONS crystal
Sc 0.875 0.625 0.750
Sc 0.125 0.375 0.250
Ti 0.234 0.984 0.469
Ti 0.484 0.734 0.969
Ti 0.766 0.016 0.531
Ti 0.516 0.266 0.031
P 0.148 0.352 0.750
P 0.398 0.102 0.250
P 0.602 0.898 0.750
P 0.852 0.648 0.250
CELL_PARAMETERS angstrom
6.296 0.767 -0.007
-1.414 6.182 -0.007
-2.434 -3.465 4.643


[5]
! ScTiP (PBE-GGA, relaxed); values from VASP
! formation energy from the elements	-0.76	eV per atom
&SYSTEM
  ibrav = 0, nat = 12, ntyp = 3
/
ATOMIC_SPECIES
Sc 44.96 Sc.upf
Ti 47.87 Ti.upf
P 30.97 P.upf
ATOMIC_POSITIONS crystal
Sc 0.907 0.614 0.815
Sc 0.550 0.828 0.100
Sc 0.450 0.172 0.900
Sc 0.093 0.386 0.185
Ti 0.752 0.355 0.504
Ti 0.242 0.110 0.485
Ti 0.248 0.645 0.496
Ti 0.758 0.890 0.515
P 0.656 0.600 0.312
P 0.368 0.866 0.737
P 0.344 0.400 0.688
P 0.632 0.134 0.263
CELL_PARAMETERS angstrom
-2.851 -0.074 -2.640
-1.078 -7.343 1.371
-3.792 2.117 6.897


[6]
! Sc5TiP6 (PBE-GGA, relaxed); values from VASP
! formation energy from the elements	-1.42	eV per atom
&SYSTEM
  ibrav = 0, nat = 12, ntyp = 3
/
ATOMIC_SPECIES
Sc 44.96 Sc.upf
P 30.97 P.upf
Ti 47.87 Ti.upf
ATOMIC_POSITIONS crystal
Sc 0.500 0.169 0.662
Sc 0.000 0.334 0.332
Sc 0.500 0.500 0.000
Sc 0.000 0.666 0.668
Sc 0.500 0.831 0.338
P 0.756 0.081 0.325
P 0.244 0.594 0.325
P 0.246 0.242 0.000
P 0.754 0.758 0.000
P 0.756 0.406 0.675
P 0.244 0.919 0.675
Ti 0.000 0.000 0.000
CELL_PARAMETERS angstrom
-5.156 -3.231 -2.077
-3.353 -2.161 5.043
-4.643 3.625 2.565